## i
GeCl | PBE | relaxed

Summary:
total magnetization = 0.0 Bohr magnetons per cell
V = 26.709 Å³/atom

Cell and atoms, written as extended XYZ:
```
8
Lattice="8.6457 0.0000 0.0000 0.0000 4.2946 0.0000 0.0000 0.0000 5.7546" Properties=species:S:1:pos:R:3 pbc="T T T"
Ge 0.0000 2.1473 4.7828
Ge 0.0000 0.0000 3.2601
Ge 4.3228 2.1473 0.3828
Ge 4.3228 0.0000 1.9055
Cl 5.9842 0.0000 3.5862
Cl 6.9843 2.1473 0.7089
Cl 1.6614 2.1473 0.7089
Cl 2.6615 0.0000 3.5862
```

## ii
GeCl | PBE | relaxed

Summary:
total magnetization = 0.0 Bohr magnetons per cell
V = 36.124 Å³/atom
density of states at the Fermi level = 0.055 states/eV/f.u.

Cell and atoms, written as extended XYZ:
```
12
Lattice="5.5430 0.0000 0.0000 0.0000 5.4179 0.0000 0.0000 0.0000 14.4342" Properties=species:S:1:pos:R:3 pbc="T T T"
Cl 0.0000 3.8899 0.0000
Cl 0.0000 0.4245 9.0809
Cl 0.0000 0.4245 5.3533
Cl 2.7715 1.5280 7.2171
Cl 2.7715 4.9934 12.5704
Cl 2.7715 4.9934 1.8638
Ge 0.0000 4.3619 7.2171
Ge 2.7715 4.8732 5.9270
Ge 0.0000 0.5448 13.1441
Ge 2.7715 1.0560 0.0000
Ge 2.7715 4.8732 8.5072
Ge 0.0000 0.5448 1.2901
```

Stability summary - winner: i; margin: 12.8 kJ/mol of atoms.

## i
GeCl | PBE | relaxed

Summary:
total magnetization = 0.0 Bohr magnetons per cell
V = 27.740 Å³/atom
density of states at the Fermi level = 0.296 states/eV/f.u.

Cell and atoms, written as extended XYZ:
```
12
Lattice="11.8233 0.0000 0.0000 0.0000 5.3118 0.0000 0.0000 0.0000 5.3003" Properties=species:S:1:pos:R:3 pbc="T T T"
Cl 1.8061 2.2194 3.9072
Cl 5.9116 1.0630 3.8131
Cl 0.0000 4.2488 1.1630
Cl 7.7178 3.0924 1.2571
Cl 4.1055 3.0924 1.2571
Cl 10.0172 2.2194 3.9072
Ge 2.5717 0.0260 3.9804
Ge 0.0000 4.7962 4.2734
Ge 3.3400 5.2859 1.3303
Ge 5.9116 0.5156 1.6232
Ge 8.4833 5.2859 1.3303
Ge 9.2516 0.0260 3.9804
```

## ii
GeCl | PBE | relaxed

Summary:
total magnetization = 0.0 Bohr magnetons per cell
V = 32.260 Å³/atom
density of states at the Fermi level = 2.206 states/eV/f.u.

Cell and atoms, written as extended XYZ:
```
8
Lattice="-2.0890 -5.7605 1.7289 5.5854 -2.5369 -1.7040 2.2306 0.9576 5.8859" Properties=species:S:1:pos:R:3 pbc="T T T"
Cl 3.1799 -5.9836 1.4902
Cl 1.5025 -4.2364 5.2851
Cl 1.4317 -1.8349 1.4777
Cl 5.3397 -2.6246 3.5686
Ge 3.9080 -0.7897 2.0909
Ge 0.0000 0.0000 0.0000
Ge 0.0708 -2.4014 3.8074
Ge 1.7482 -4.1487 0.0125
```

## iii
GeCl | PBE | relaxed

Summary:
total magnetization = 0.0 Bohr magnetons per cell
V = 34.923 Å³/atom

Cell and atoms, written as extended XYZ:
```
16
Lattice="10.2790 0.0000 0.0000 0.0000 10.2790 0.0000 0.0000 0.0000 5.2885" Properties=species:S:1:pos:R:3 pbc="T T T"
Cl 0.9897 2.6070 0.0000
Cl 2.6070 9.2893 0.0000
Cl 4.1498 2.5325 2.6443
Cl 7.6720 0.9897 0.0000
Cl 9.2893 7.6720 0.0000
Cl 6.1292 7.7465 2.6443
Cl 7.7465 4.1498 2.6443
Cl 2.5325 6.1292 2.6443
Ge 5.3834 1.3534 0.0000
Ge 0.2439 6.4930 2.6443
Ge 4.8956 8.9256 0.0000
Ge 10.0351 3.7861 2.6443
Ge 3.7861 0.2439 2.6443
Ge 1.3534 4.8956 0.0000
Ge 8.9256 5.3834 0.0000
Ge 6.4930 10.0351 2.6443
```

## iv
GeCl | PBE | relaxed

Summary:
total magnetization = 0.0 Bohr magnetons per cell
V = 25.028 Å³/atom
density of states at the Fermi level = 0.510 states/eV/f.u.

Cell and atoms, written as extended XYZ:
```
2
Lattice="-3.2380 0.3465 0.6085 -2.1483 0.1652 -2.5193 -0.9058 -5.2338 -1.7279" Properties=species:S:1:pos:R:3 pbc="T T T"
Cl -4.2871 0.2693 -1.0808
Ge -1.2768 -2.2600 -1.6426
```

Stability summary - winner: i; margin: 11.6 kJ/mol of atoms.

## i
GeHCl | PBE | relaxed

Summary:
total magnetization = 0.0 Bohr magnetons per cell
V = 24.563 Å³/atom

Cell and atoms, written as extended XYZ:
```
6
Lattice="-0.6060 2.6047 3.1392 -6.6373 1.2546 -4.1527 1.5076 -5.2414 2.8573" Properties=species:S:1:pos:R:3 pbc="T T T"
Cl -2.4419 -1.3197 -0.7152
Cl -5.5612 1.3676 -1.7663
Ge -2.9914 -1.2343 2.3403
Ge -4.6752 -1.5630 0.3744
H 0.0436 -3.2730 2.1444
H -0.3183 -3.4810 1.5146
```

## ii
GeHCl | PBE | relaxed

Summary:
total magnetization = 0.0 Bohr magnetons per cell
V = 17.830 Å³/atom
density of states at the Fermi level = 0.661 states/eV/f.u.

Cell and atoms, written as extended XYZ:
```
3
Lattice="-2.8765 -0.1000 -1.3832 -0.9207 -2.2442 2.0769 0.1950 4.9003 2.9264" Properties=species:S:1:pos:R:3 pbc="T T T"
Ge -1.9562 -1.0461 0.4575
Cl -1.0454 2.2878 2.0087
H -0.0895 0.1959 0.1720
```

Stability summary - winner: i; margin: 20.8 kJ/mol of atoms.

## i
GeH2Cl | PBE | relaxed

Summary:
total magnetization = 0.0 Bohr magnetons per cell
V = 12.034 Å³/atom
density of states at the Fermi level = 2.174 states/eV/f.u.

Cell and atoms, written as extended XYZ:
```
4
Lattice="-4.0012 -0.4489 0.6785 -2.4323 -1.3835 -2.9734 -1.6195 -3.7391 0.2611" Properties=species:S:1:pos:R:3 pbc="T T T"
Ge -4.0265 -2.7858 -1.0169
H -6.0398 -4.1786 -1.5253
H -2.0133 -1.3929 -0.5084
Cl 0.0000 0.0000 0.0000
```

## ii
GeH2Cl | PBE | relaxed

Summary:
total magnetization = 0.0 Bohr magnetons per cell
V = 20.106 Å³/atom
density of states at the Fermi level = 0.000 states/eV/f.u.

Cell and atoms, written as extended XYZ:
```
8
Lattice="5.5280 -0.2305 0.0569 -0.2913 6.3389 -1.4580 0.1437 -2.1381 5.0909" Properties=species:S:1:pos:R:3 pbc="T T T"
Cl 3.0860 2.7409 2.8677
Cl 5.5064 -0.3781 3.5899
H 2.3708 1.7585 -0.0193
H 0.4043 5.7600 -0.9450
H 2.7766 -0.5810 2.0368
H 0.2881 2.4284 1.3457
Ge 1.6325 4.9967 -0.4395
Ge 1.1431 2.6672 0.0984
```

## iii
GeH2Cl | PBE | relaxed

Summary:
total magnetization = 0.0 Bohr magnetons per cell
V = 14.470 Å³/atom
density of states at the Fermi level = 0.042 states/eV/f.u.

Cell and atoms, written as extended XYZ:
```
8
Lattice="5.4584 0.0000 0.0000 0.0000 5.4584 0.0000 2.7292 2.7292 3.8852" Properties=species:S:1:pos:R:3 pbc="T T T"
H 4.0938 2.6984 2.9139
H 5.4893 1.3646 0.9713
H 6.8231 2.7601 2.9139
H 5.4276 4.0938 0.9713
Ge 0.0000 0.0000 0.0000
Ge 5.4584 2.7292 1.9426
Cl 2.7292 2.7292 0.0000
Cl 2.7292 5.4584 1.9426
```

Stability summary - winner: ii; margin: 35.1 kJ/mol of atoms.

## i
GeH2Cl8 | PBE | relaxed

Summary:
total magnetization = 0.0 Bohr magnetons per cell
V = 29.397 Å³/atom
density of states at the Fermi level = 0.000 states/eV/f.u.

Cell and atoms, written as extended XYZ:
```
11
Lattice="3.0369 2.3962 -0.7350 -1.8063 10.9004 -7.2925 5.8600 -6.8423 14.4111" Properties=species:S:1:pos:R:3 pbc="T T T"
Ge 1.5185 1.1981 -0.3675
Cl 5.4297 -3.5449 11.2146
Cl 4.4938 0.9453 8.2677
Cl 3.5695 -1.2202 5.1757
Cl 2.5968 5.5089 -1.8841
Cl 4.1855 3.3626 5.4618
Cl 1.6609 9.9991 -4.8311
Cl 2.9051 3.0916 0.9218
Cl 3.5211 7.6744 1.2079
H 1.4739 4.4599 1.6153
H 5.6167 1.9943 4.7683
```

## ii
GeH2Cl8 | PBE | relaxed

Summary:
total magnetization = 2.2 Bohr magnetons per cell
V = 30.483 Å³/atom
density of states at the Fermi level = 8.612 states/eV/f.u.

Cell and atoms, written as extended XYZ:
```
11
Lattice="7.2855 -0.1692 -0.1182 0.9893 7.2587 0.6508 0.9893 3.1091 6.5914" Properties=species:S:1:pos:R:3 pbc="T T T"
Cl 4.4730 6.6699 4.6591
Cl 1.6088 5.1015 1.1185
Cl 1.6088 2.8058 4.4049
Cl 7.6553 5.0971 6.0055
Cl 7.1586 9.4665 6.6126
Cl 4.7911 3.5287 2.4649
Cl 7.6553 7.3928 2.7190
Cl 2.1055 0.7321 0.5114
H 3.7702 7.5586 5.2799
H 5.4939 2.6400 1.8441
Ge 0.0000 0.0000 0.0000
```

Stability summary - winner: i; margin: 1.3 kJ/mol of atoms.

## i
GeH3SCl3 | PBE | relaxed

Summary:
total magnetization = 0.0 Bohr magnetons per cell
V = 24.190 Å³/atom
density of states at the Fermi level = 0.000 states/eV/f.u.

Cell and atoms, written as extended XYZ:
```
8
Lattice="5.6631 0.1754 0.0507 0.3213 5.7375 0.3994 0.1112 0.7706 6.0205" Properties=species:S:1:pos:R:3 pbc="T T T"
H 4.8831 1.8517 5.6473
H 1.2556 1.7716 5.6567
H 5.7159 1.2769 1.3931
Cl 3.2597 5.3847 2.5925
Cl 5.5687 2.7140 2.7723
Cl 3.0248 2.9940 5.1631
Ge 3.1663 3.0689 2.7585
S 0.1400 0.2403 0.2183
```

## ii
GeH3SCl3 | PBE | relaxed

Summary:
total magnetization = 0.0 Bohr magnetons per cell
V = 24.204 Å³/atom
density of states at the Fermi level = 0.000 states/eV/f.u.

Cell and atoms, written as extended XYZ:
```
16
Lattice="5.0946 -0.0011 0.1061 -2.5422 6.9753 -0.0147 1.6452 0.2809 10.9341" Properties=species:S:1:pos:R:3 pbc="T T T"
Ge 2.3774 6.6685 1.9288
Ge 5.9283 0.4185 7.2125
H 3.2916 2.3873 3.4348
H 4.1750 4.0547 4.0931
H 0.4263 4.7693 10.2423
H 2.1789 3.9945 3.9139
H 1.7080 4.5966 8.6987
H 0.4945 3.0384 9.1577
S 1.4124 3.8571 9.8577
S 3.1709 3.2310 4.5461
Cl 3.9806 6.2000 10.6109
Cl 1.8575 5.5939 6.9003
Cl 3.3304 1.3929 1.5928
Cl 0.7886 5.0130 2.7342
Cl 0.6630 1.1430 4.8730
Cl 4.3245 1.9566 8.1058
```

Stability summary - winner: i; margin: 0.6 kJ/mol of atoms.

## i
Hf2GeCl | PBE | relaxed

Summary:
total magnetization = 0.0 Bohr magnetons per cell
V = 23.020 Å³/atom
density of states at the Fermi level = 4.554 states/eV/f.u.

Cell and atoms, written as extended XYZ:
```
8
Lattice="-4.7404 0.0390 -0.6220 -0.5712 -2.1820 4.2157 -3.0761 6.0964 5.4498" Properties=species:S:1:pos:R:3 pbc="T T T"
Hf -1.7871 0.1658 3.9105
Hf -4.3072 3.7371 5.4960
Hf -3.7346 1.2752 1.5096
Hf -6.9464 2.7287 7.1709
Ge 0.0000 0.0000 0.0000
Ge -5.2361 2.5319 3.3123
Cl -3.1515 1.4214 5.7312
Cl -2.6558 -1.0715 1.7968
```

## ii
Hf2GeCl | PBE | relaxed

Summary:
total magnetization = 0.0 Bohr magnetons per cell
V = 18.330 Å³/atom
density of states at the Fermi level = 2.728 states/eV/f.u.

Cell and atoms, written as extended XYZ:
```
4
Lattice="0.0000 3.3220 3.3220 3.3220 0.0000 3.3220 3.3220 3.3220 0.0000" Properties=species:S:1:pos:R:3 pbc="T T T"
Cl 0.0000 0.0000 0.0000
Ge 3.3220 3.3220 3.3220
Hf 4.9830 4.9830 4.9830
Hf 1.6610 1.6610 1.6610
```

Stability summary - winner: ii; margin: 49.8 kJ/mol of atoms.

## i
HgGe2Cl6 | PBE | relaxed

Summary:
total magnetization = 0.0 Bohr magnetons per cell
V = 40.485 Å³/atom
density of states at the Fermi level = 0.886 states/eV/f.u.

Cell and atoms, written as extended XYZ:
```
18
Lattice="-7.3845 -0.5682 -3.3531 -2.2128 -9.5991 -3.0823 -7.0496 -3.6986 6.5699" Properties=species:S:1:pos:R:3 pbc="T T T"
Cl -9.4235 -2.7220 1.6352
Cl -13.8106 -7.8963 2.5999
Cl -6.7919 -9.0125 2.1089
Cl -7.1394 -7.3852 -2.5783
Cl -9.8550 -4.8534 -1.9744
Cl -5.6155 -4.4558 3.4253
Cl -10.4823 -9.2987 0.4288
Cl -7.2234 -11.1439 -1.5007
Cl -6.1645 -4.5671 -0.2943
Cl -2.8362 -5.9696 -2.4654
Cl -11.0314 -9.4100 -3.2908
Cl -9.5075 -6.4807 2.7128
Ge -11.8254 -10.1501 -1.3999
Ge -9.1688 -8.6026 2.3433
Ge -4.8215 -3.7157 1.5344
Ge -7.4781 -5.2632 -2.2088
Hg -7.7515 -10.0248 -5.5963
Hg -8.8954 -3.8411 5.7308
```

## ii
HgGe2Cl6 | PBE | relaxed

Summary:
total magnetization = 0.0 Bohr magnetons per cell
V = 35.634 Å³/atom
density of states at the Fermi level = 0.000 states/eV/f.u.

Cell and atoms, written as extended XYZ:
```
18
Lattice="-8.6440 -1.0863 0.2615 -0.3587 -7.3958 -5.0774 -0.6062 -2.1092 8.7058" Properties=species:S:1:pos:R:3 pbc="T T T"
Cl -5.0232 -7.0558 1.4757
Cl -4.7318 -3.1591 6.9911
Cl -0.7369 -5.7503 3.3327
Cl -0.7386 -2.9685 6.9897
Cl -7.5744 -8.8219 -0.0163
Cl -6.2543 -4.4948 -1.6523
Cl -3.3546 -6.0966 5.5421
Cl -2.0345 -1.7695 3.9062
Cl -8.8720 -4.8411 0.5572
Cl -4.8770 -7.4322 -3.1013
Cl -8.8703 -7.6229 -3.0998
Cl -4.5857 -3.5355 2.4141
Ge -6.4632 -8.6397 2.2387
Ge -3.1456 -1.9517 1.6511
Ge -2.1712 -7.4554 3.7796
Ge -7.4376 -3.1360 0.1103
Hg -2.7018 -3.7776 5.1295
Hg -6.9071 -6.8138 -1.2397
```

Stability summary - winner: ii; margin: 5.3 kJ/mol of atoms.